[1]
# PBE-GGA Te2IrOs, relaxed
data_Te2IrOs
_chemical_formula_sum 'Te4 Ir2 Os2'
_space_group_name_H-M_alt 'P 1'
_space_group_IT_number 1
_cell_length_a 7.225
_cell_length_b 7.225
_cell_length_c 7.225
_cell_angle_alpha 131.64
_cell_angle_beta 131.64
_cell_angle_gamma 70.80
loop_
_space_group_symop_operation_xyz
'x,y,z'
loop_
_atom_site_label
_atom_site_type_symbol
_atom_site_fract_x
_atom_site_fract_y
_atom_site_fract_z
_atom_site_occupancy
Te1 Te 0.123 0.625 0.998 1
Te2 Te 0.375 0.373 0.498 1
Te3 Te 0.627 0.125 0.002 1
Te4 Te 0.875 0.877 0.502 1
Ir1 Ir 0.250 0.750 0.500 1
Ir2 Ir 0.500 0.500 0.000 1
Os1 Os 0.000 0.000 0.000 1
Os2 Os 0.750 0.250 0.500 1
# theoretical density: 10.26 g/cm³
# space group: No. 122
# energy relative to the elements, uncorrected: 0.534 eV per atom
# total energy: -6.06 eV per atom

[2]
# PBE-GGA TeIrOs2, relaxed
data_TeIrOs2
_chemical_formula_sum 'Te1 Ir1 Os2'
_space_group_name_H-M_alt 'P 1'
_space_group_IT_number 1
_cell_length_a 3.135
_cell_length_b 4.783
_cell_length_c 4.551
_cell_angle_alpha 90.00
_cell_angle_beta 91.29
_cell_angle_gamma 90.00
loop_
_space_group_symop_operation_xyz
'x,y,z'
loop_
_atom_site_label
_atom_site_type_symbol
_atom_site_fract_x
_atom_site_fract_y
_atom_site_fract_z
_atom_site_occupancy
Te1 Te 0.000 0.000 0.000 1
Ir1 Ir 0.500 0.000 0.500 1
Os1 Os 0.320 0.500 0.754 1
Os2 Os 0.680 0.500 0.246 1
# theoretical density: 17.05 g/cm³
# space group: No. 10
# energy relative to the elements, uncorrected: 0.871 eV per atom
# total energy: -7.74 eV per atom

[3]
# PBE-GGA TeIrOs2, relaxed
data_TeIrOs2
_chemical_formula_sum 'Te1 Ir1 Os2'
_space_group_name_H-M_alt 'P 1'
_space_group_IT_number 1
_cell_length_a 4.746
_cell_length_b 4.746
_cell_length_c 4.746
_cell_angle_alpha 128.27
_cell_angle_beta 128.27
_cell_angle_gamma 76.19
loop_
_space_group_symop_operation_xyz
'x,y,z'
loop_
_atom_site_label
_atom_site_type_symbol
_atom_site_fract_x
_atom_site_fract_y
_atom_site_fract_z
_atom_site_occupancy
Te1 Te 0.000 0.000 0.000 1
Ir1 Ir 0.500 0.500 0.000 1
Os1 Os 0.250 0.750 0.500 1
Os2 Os 0.750 0.250 0.500 1
# theoretical density: 18.15 g/cm³
# space group: No. 139
# energy relative to the elements, uncorrected: 0.758 eV per atom
# total energy: -7.86 eV per atom

[4]
# PBE-GGA TeIr2Os, relaxed
data_TeIr2Os
_chemical_formula_sum 'Te1 Ir2 Os1'
_space_group_name_H-M_alt 'P 1'
_space_group_IT_number 1
_cell_length_a 4.790
_cell_length_b 4.790
_cell_length_c 4.790
_cell_angle_alpha 128.87
_cell_angle_beta 128.87
_cell_angle_gamma 75.23
loop_
_space_group_symop_operation_xyz
'x,y,z'
loop_
_atom_site_label
_atom_site_type_symbol
_atom_site_fract_x
_atom_site_fract_y
_atom_site_fract_z
_atom_site_occupancy
Te1 Te 0.000 0.000 0.000 1
Ir1 Ir 0.250 0.750 0.500 1
Ir2 Ir 0.500 0.500 0.000 1
Os1 Os 0.750 0.250 0.500 1
# theoretical density: 17.98 g/cm³
# space group: No. 119
# energy relative to the elements, uncorrected: 0.628 eV per atom
# total energy: -7.40 eV per atom

[5]
# PBE-GGA TeIrOs2, relaxed
data_TeIrOs2
_chemical_formula_sum 'Te2 Ir2 Os4'
_space_group_name_H-M_alt 'P 1'
_space_group_IT_number 1
_cell_length_a 6.985
_cell_length_b 6.985
_cell_length_c 6.985
_cell_angle_alpha 131.02
_cell_angle_beta 131.02
_cell_angle_gamma 71.79
loop_
_space_group_symop_operation_xyz
'x,y,z'
loop_
_atom_site_label
_atom_site_type_symbol
_atom_site_fract_x
_atom_site_fract_y
_atom_site_fract_z
_atom_site_occupancy
Te1 Te 0.000 0.000 0.000 1
Te2 Te 0.750 0.250 0.500 1
Ir1 Ir 0.250 0.750 0.500 1
Ir2 Ir 0.500 0.500 0.000 1
Os1 Os 0.153 0.625 0.028 1
Os2 Os 0.375 0.403 0.528 1
Os3 Os 0.597 0.125 0.972 1
Os4 Os 0.875 0.847 0.472 1
# theoretical density: 12.25 g/cm³
# space group: No. 122
# energy relative to the elements, uncorrected: 1.063 eV per atom
# total energy: -7.55 eV per atom

[6]
# PBE-GGA Te2IrOs, relaxed
data_Te2IrOs
_chemical_formula_sum 'Te2 Ir1 Os1'
_space_group_name_H-M_alt 'P 1'
_space_group_IT_number 1
_cell_length_a 4.035
_cell_length_b 4.035
_cell_length_c 8.161
_cell_angle_alpha 94.31
_cell_angle_beta 94.31
_cell_angle_gamma 43.60
loop_
_space_group_symop_operation_xyz
'x,y,z'
loop_
_atom_site_label
_atom_site_type_symbol
_atom_site_fract_x
_atom_site_fract_y
_atom_site_fract_z
_atom_site_occupancy
Te1 Te 0.000 0.000 0.000 1
Te2 Te 0.215 0.215 0.594 1
Ir1 Ir 0.751 0.751 0.215 1
Os1 Os 0.470 0.470 0.384 1
# theoretical density: 11.59 g/cm³
# space group: No. 8
# energy relative to the elements, uncorrected: 0.381 eV per atom
# total energy: -6.21 eV per atom

[7]
# PBE-GGA TeIr2Os, relaxed
data_TeIr2Os
_chemical_formula_sum 'Te1 Ir2 Os1'
_space_group_name_H-M_alt 'P 1'
_space_group_IT_number 1
_cell_length_a 6.034
_cell_length_b 6.034
_cell_length_c 6.034
_cell_angle_alpha 152.79
_cell_angle_beta 135.72
_cell_angle_gamma 52.75
loop_
_space_group_symop_operation_xyz
'x,y,z'
loop_
_atom_site_label
_atom_site_type_symbol
_atom_site_fract_x
_atom_site_fract_y
_atom_site_fract_z
_atom_site_occupancy
Te1 Te 0.000 0.000 0.000 1
Ir1 Ir 0.330 0.830 0.500 1
Ir2 Ir 0.569 0.569 0.000 1
Os1 Os 0.770 0.270 0.500 1
# theoretical density: 16.70 g/cm³
# space group: No. 44
# energy relative to the elements, uncorrected: 0.649 eV per atom
# total energy: -7.37 eV per atom

[8]
# PBE-GGA TeIr2Os, relaxed
data_TeIr2Os
_chemical_formula_sum 'Te1 Ir2 Os1'
_space_group_name_H-M_alt 'P 1'
_space_group_IT_number 1
_cell_length_a 5.539
_cell_length_b 5.539
_cell_length_c 5.539
_cell_angle_alpha 150.00
_cell_angle_beta 128.53
_cell_angle_gamma 60.73
loop_
_space_group_symop_operation_xyz
'x,y,z'
loop_
_atom_site_label
_atom_site_type_symbol
_atom_site_fract_x
_atom_site_fract_y
_atom_site_fract_z
_atom_site_occupancy
Te1 Te 0.000 0.000 0.000 1
Ir1 Ir 0.256 0.756 0.500 1
Ir2 Ir 0.744 0.244 0.500 1
Os1 Os 0.500 0.500 0.000 1
# theoretical density: 17.69 g/cm³
# space group: No. 71
# energy relative to the elements, uncorrected: 0.707 eV per atom
# total energy: -7.32 eV per atom